The following is a DFT calculation (GGA+U) of an optimized crystal structure of Li3V4O7F5.

Output
Energy (eV per atom): -6.340
Symmetry: P1 (1)

Lattice parameters (Å, degrees): 5.262 5.504 9.047 98.19 88.97 115.34
Site moments in Bohr magnetons follow the coordinates.
Atoms (fractional coordinates):
O1 0.239 0.511 0.868  -0.09
O2 0.820 0.012 0.810  -0.02
Li1 0.677 0.589 0.552  0.00
O3 0.713 0.023 0.126  -0.04
F1 0.107 0.887 0.593  -0.01
V1 0.197 0.716 0.393  1.92
V2 0.208 0.241 0.733  1.09
F2 0.598 0.351 0.711  0.01
Li2 0.498 0.300 0.221  0.00
Li3 0.621 0.718 0.965  0.00
V3 0.854 0.079 0.321  1.09
F3 0.237 0.412 0.554  0.01
F4 0.723 0.487 0.055  0.01
O4 0.825 0.403 0.382  -0.05
O5 0.599 0.842 0.430  -0.04
F5 0.233 0.478 0.192  0.01
O6 0.151 0.990 0.300  -0.06
O7 0.060 0.997 0.889  -0.04
V4 0.949 0.289 0.007  1.93